Computed, not measured: a relaxed structure of CaUBr5 at the GGA-PBE level of DFT.

Summary:
- N(E_F): 0.064 states/eV/atom
- Energy: -0.1695 hartree per atom

Lattice parameters (Å, degrees): 7.643 7.643 11.372 105.19 108.50 97.94
Sites, in units of the cell vectors:
Br (0.732, 0.166, 0.852)
Br (0.268, 0.834, 0.148)
Br (0.266, 0.809, 0.503)
Br (0.694, 0.737, 0.003)
Br (0.734, 0.191, 0.497)
Br (0.027, 0.777, 0.750)
Br (0.686, 0.620, 0.352)
Br (0.306, 0.263, 0.997)
Br (0.314, 0.380, 0.648)
Br (0.973, 0.223, 0.250)
Ca (0.329, 0.079, 0.750)
Ca (0.671, 0.921, 0.250)
U (0.000, 0.500, 0.500)
U (0.000, 0.000, 0.000)